## SrIrO2 (GGA-PBE)

Data for SrIrO2 after structural relaxation.

Calculated values
- raw formation energy (meV per atom) = -496.4
- total DFT energy (no corrections) (eV/cell) = -22.445

```
SrIrO2
1.0
0.000 2.988 2.988
2.988 0.000 2.988
2.988 2.988 0.000
Sr Ir O
1 1 2
direct
0.000 0.000 0.000
0.500 0.500 0.500
0.250 0.250 0.250
0.750 0.750 0.750
```

## Sr5IrO8 (GGA-PBE)

Data for Sr5IrO8 after structural relaxation.

Calculated values
- raw formation energy (meV per atom) = -2003.9
- total DFT energy (no corrections) (eV/cell) = -84.990

```
Sr5IrO8
1.0
6.701 -0.156 0.268
-2.414 6.253 -0.268
-1.873 -3.239 5.568
Sr Ir O
5 1 8
direct
0.021 0.409 0.181
0.819 0.840 0.228
0.772 0.591 0.612
0.500 0.000 0.500
0.388 0.160 0.979
0.250 0.500 0.750
0.184 0.723 0.953
0.047 0.232 0.770
0.697 0.198 0.301
0.699 0.396 0.896
0.500 0.604 0.303
0.538 0.768 0.816
0.230 0.277 0.462
0.104 0.802 0.500
```

## SrIrO3 (GGA-PBE)

Data for SrIrO3 after structural relaxation.

Calculated values
- raw formation energy (meV per atom) = -1580.5
- total DFT energy (no corrections) (eV/cell) = -133.280

```
SrIrO3
1.0
5.693 0.000 0.000
0.000 5.609 0.000
0.000 0.000 7.958
Sr Ir O
4 4 12
direct
0.542 0.509 0.250
0.458 0.491 0.750
0.958 0.009 0.750
0.042 0.991 0.250
0.000 0.500 0.500
0.000 0.500 0.000
0.500 0.000 0.000
0.500 0.000 0.500
0.793 0.794 0.459
0.707 0.294 0.541
0.707 0.294 0.959
0.293 0.706 0.041
0.522 0.921 0.750
0.793 0.794 0.041
0.293 0.706 0.459
0.207 0.206 0.959
0.207 0.206 0.541
0.978 0.421 0.250
0.478 0.079 0.250
0.022 0.579 0.750
```

## Sr4Ir3O10 (GGA-PBE)

Data for Sr4Ir3O10 after structural relaxation.

Calculated values
- raw formation energy (meV per atom) = -1661.3
- total DFT energy (no corrections) (eV/cell) = -111.135

```
Sr4Ir3O10
1.0
14.696 0.013 0.000
13.614 5.534 0.000
-14.155 -2.773 2.813
Sr Ir O
4 3 10
direct
0.297 0.297 0.000
0.703 0.703 0.000
0.430 0.430 0.000
0.570 0.570 0.000
0.143 0.143 0.000
0.857 0.857 0.000
0.000 0.000 0.000
0.213 0.213 0.000
0.787 0.787 0.000
0.638 0.138 0.500
0.362 0.862 0.500
0.138 0.638 0.500
0.862 0.362 0.500
0.070 0.070 0.000
0.930 0.930 0.000
0.500 0.000 0.500
0.000 0.500 0.500
```

## SrIrO3 (GGA-PBE)

Data for SrIrO3 after structural relaxation.

Calculated values
- raw formation energy (meV per atom) = -1587.6
- total DFT energy (no corrections) (eV/cell) = -200.133

```
SrIrO3
1.0
5.542 0.002 0.000
-2.622 4.883 0.000
0.000 0.000 14.488
Sr Ir O
6 6 18
direct
0.992 0.008 0.750
0.008 0.992 0.250
0.323 0.677 0.892
0.323 0.677 0.608
0.677 0.323 0.108
0.677 0.323 0.392
0.000 0.000 0.000
0.000 0.000 0.500
0.339 0.661 0.152
0.339 0.661 0.348
0.661 0.339 0.848
0.661 0.339 0.652
0.201 0.279 0.402
0.721 0.799 0.098
0.799 0.721 0.598
0.279 0.201 0.902
0.202 0.798 0.043
0.202 0.798 0.457
0.798 0.202 0.957
0.798 0.202 0.543
0.721 0.799 0.402
0.201 0.279 0.098
0.279 0.201 0.598
0.799 0.721 0.902
0.513 0.487 0.750
0.487 0.513 0.250
0.519 0.025 0.750
0.975 0.481 0.750
0.481 0.975 0.250
0.025 0.519 0.250
```

## SrIr2O6 (GGA-PBE)

Data for SrIr2O6 after structural relaxation.

Calculated values
- raw formation energy (meV per atom) = -1263.4
- total DFT energy (no corrections) (eV/cell) = -60.524

```
SrIr2O6
1.0
5.349 0.000 0.000
-2.675 4.633 0.000
0.000 0.000 5.238
Sr Ir O
1 2 6
direct
0.000 0.000 0.000
0.333 0.667 0.500
0.667 0.333 0.500
0.621 0.000 0.298
0.379 0.379 0.298
0.000 0.621 0.298
0.621 0.621 0.702
0.000 0.379 0.702
0.379 0.000 0.702
```

## Sr2IrO4 (GGA-PBE)

Data for Sr2IrO4 after structural relaxation.

Calculated values
- raw formation energy (meV per atom) = -1927.2
- total DFT energy (no corrections) (eV/cell) = -45.548

```
Sr2IrO4
1.0
3.955 0.000 0.000
0.000 3.955 0.000
1.978 1.978 6.383
Sr Ir O
2 1 4
direct
0.354 0.354 0.293
0.646 0.646 0.707
0.000 0.000 0.000
0.163 0.163 0.674
0.837 0.837 0.326
0.000 0.500 0.000
0.500 0.000 0.000
```

## SrIrO3 (GGA-PBE)

Data for SrIrO3 after structural relaxation.

Calculated values
- raw formation energy (meV per atom) = -1458.3
- total DFT energy (no corrections) (eV/cell) = -32.709

```
SrIrO3
1.0
3.971 0.000 0.000
0.000 3.971 0.000
0.000 0.000 3.971
Sr Ir O
1 1 3
direct
0.500 0.500 0.500
0.000 0.000 0.000
0.000 0.500 0.000
0.000 0.000 0.500
0.500 0.000 0.000
```

## Sr3Ir2O9 (GGA-PBE)

Data for Sr3Ir2O9 after structural relaxation.

Calculated values
- raw formation energy (meV per atom) = -1625.6
- total DFT energy (no corrections) (eV/cell) = -180.298

```
Sr3Ir2O9
1.0
7.242 0.019 0.668
0.611 7.216 0.668
0.020 0.019 7.273
Sr Ir O
6 4 18
direct
0.415 0.750 0.085
0.250 0.915 0.585
0.915 0.585 0.250
0.085 0.415 0.750
0.750 0.085 0.415
0.585 0.250 0.915
0.149 0.149 0.149
0.649 0.649 0.649
0.851 0.851 0.851
0.351 0.351 0.351
0.742 0.917 0.084
0.083 0.916 0.258
0.250 0.406 0.094
0.583 0.758 0.416
0.594 0.906 0.750
0.906 0.750 0.594
0.242 0.584 0.417
0.584 0.417 0.242
0.916 0.258 0.083
0.084 0.742 0.917
0.416 0.583 0.758
0.406 0.094 0.250
0.758 0.416 0.583
0.094 0.250 0.406
0.417 0.242 0.584
0.750 0.594 0.906
0.917 0.084 0.742
0.258 0.083 0.916
```

## SrIrO3 (GGA-PBE)

Data for SrIrO3 after structural relaxation.

Calculated values
- raw formation energy (meV per atom) = -1625.4
- total DFT energy (no corrections) (eV/cell) = -67.089

```
SrIrO3
1.0
3.279 0.000 0.000
-1.639 5.132 0.000
0.000 0.000 7.530
Sr Ir O
2 2 6
direct
0.249 0.497 0.750
0.751 0.503 0.250
0.000 0.000 0.000
0.000 0.000 0.500
0.380 0.761 0.455
0.620 0.239 0.545
0.620 0.239 0.955
0.380 0.761 0.045
0.934 0.868 0.750
0.066 0.132 0.250
```

## SrIrO2 (GGA-PBE)

Data for SrIrO2 after structural relaxation.

Calculated values
- raw formation energy (meV per atom) = -1035.5
- total DFT energy (no corrections) (eV/cell) = -49.203

```
SrIrO2
1.0
4.614 0.000 0.000
0.000 4.614 0.000
2.307 2.307 6.159
Sr Ir O
2 2 4
direct
0.500 0.500 0.000
0.250 0.750 0.500
0.000 0.000 0.000
0.750 0.250 0.500
0.714 0.125 0.250
0.036 0.625 0.250
0.375 0.286 0.750
0.875 0.964 0.750
```

## Sr6Ir3O14 (GGA-PBE)

Data for Sr6Ir3O14 after structural relaxation.

Calculated values
- raw formation energy (meV per atom) = -1784.1
- total DFT energy (no corrections) (eV/cell) = -147.123

```
Sr6Ir3O14
1.0
5.513 0.000 0.000
0.000 7.681 -4.435
0.000 0.000 8.869
Sr Ir O
6 3 14
direct
0.264 0.780 0.072
0.264 0.928 0.708
0.264 0.292 0.220
0.785 0.552 0.565
0.785 0.435 0.987
0.785 0.013 0.448
0.809 0.000 0.000
0.347 0.333 0.667
0.430 0.667 0.333
0.986 0.055 0.206
0.986 0.794 0.849
0.986 0.151 0.945
0.520 0.260 0.456
0.520 0.544 0.805
0.520 0.195 0.740
0.478 0.000 0.000
0.016 0.333 0.667
0.639 0.740 0.198
0.639 0.802 0.542
0.639 0.458 0.260
0.227 0.597 0.473
0.227 0.527 0.124
0.227 0.876 0.403
```

## SrIrO3 (GGA-PBE)

Data for SrIrO3 after structural relaxation.

Calculated values
- raw formation energy (meV per atom) = -1578.1
- total DFT energy (no corrections) (eV/cell) = -66.616

```
SrIrO3
1.0
5.187 -0.082 -0.568
-0.884 4.820 -2.640
-0.059 0.123 5.565
Sr Ir O
2 2 6
direct
0.250 0.166 0.834
0.750 0.834 0.166
0.500 0.500 0.500
0.000 0.500 0.500
0.315 0.668 0.825
0.250 0.664 0.336
0.685 0.332 0.175
0.750 0.336 0.664
0.185 0.175 0.332
0.815 0.825 0.668
```

## Sr12Ir3O5 (GGA-PBE)

Data for Sr12Ir3O5 after structural relaxation.

Calculated values
- raw formation energy (meV per atom) = -1314.4
- total DFT energy (no corrections) (eV/cell) = -391.379

```
Sr12Ir3O5
1.0
-1.413 -12.423 6.488
-4.491 -1.113 -13.305
13.558 3.822 0.075
Sr Ir O
48 12 20
direct
0.705 0.125 0.024
0.320 0.524 0.399
0.976 0.375 0.295
0.524 0.205 0.125
0.580 0.705 0.680
0.976 0.601 0.180
0.320 0.795 0.420
0.101 0.920 0.125
0.601 0.976 0.680
0.705 0.580 0.180
0.795 0.476 0.375
0.820 0.899 0.024
0.125 0.705 0.524
0.375 0.399 0.080
0.080 0.899 0.375
0.420 0.125 0.601
0.080 0.180 0.205
0.476 0.680 0.101
0.820 0.920 0.295
0.125 0.420 0.101
0.375 0.976 0.795
0.601 0.625 0.420
0.899 0.820 0.524
0.795 0.320 0.920
0.399 0.375 0.580
0.101 0.180 0.476
0.205 0.680 0.080
0.180 0.080 0.705
0.625 0.024 0.205
0.875 0.580 0.899
0.524 0.320 0.899
0.580 0.875 0.399
0.920 0.820 0.795
0.920 0.101 0.625
0.875 0.295 0.476
0.180 0.101 0.976
0.625 0.601 0.920
0.399 0.024 0.320
0.295 0.420 0.820
0.205 0.524 0.625
0.899 0.080 0.875
0.680 0.205 0.580
0.476 0.795 0.875
0.024 0.399 0.820
0.420 0.295 0.320
0.024 0.625 0.705
0.680 0.476 0.601
0.295 0.875 0.976
0.750 0.375 0.125
0.875 0.750 0.125
0.375 0.750 0.625
0.250 0.125 0.375
0.875 0.125 0.250
0.375 0.625 0.250
0.625 0.375 0.750
0.125 0.875 0.750
0.750 0.875 0.625
0.625 0.250 0.375
0.125 0.250 0.875
0.250 0.625 0.875
0.125 0.375 0.250
0.000 0.500 0.000
0.000 0.000 0.000
0.375 0.250 0.125
0.500 0.000 0.500
0.500 0.500 0.000
0.125 0.750 0.375
0.750 0.125 0.875
0.750 0.625 0.375
0.375 0.125 0.750
0.625 0.875 0.250
0.500 0.500 0.500
0.500 0.000 0.000
0.000 0.000 0.500
0.250 0.375 0.625
0.250 0.875 0.125
0.000 0.500 0.500
0.875 0.250 0.625
0.625 0.750 0.875
0.875 0.625 0.750
```

## SrIr2O (GGA-PBE)

Data for SrIr2O after structural relaxation.

Calculated values
- raw formation energy (meV per atom) = -193.5
- total DFT energy (no corrections) (eV/cell) = -50.272

```
SrIr2O
1.0
5.067 0.000 0.000
0.000 5.067 0.000
2.533 2.533 6.474
Sr Ir O
2 4 2
direct
0.000 0.000 0.000
0.750 0.250 0.500
0.375 0.125 0.250
0.375 0.625 0.250
0.375 0.625 0.750
0.875 0.625 0.750
0.500 0.500 0.000
0.250 0.750 0.500
```

## Sr2Ir2O7 (GGA-PBE)

Data for Sr2Ir2O7 after structural relaxation.

Calculated values
- raw formation energy (meV per atom) = -1541.7
- total DFT energy (no corrections) (eV/cell) = -145.504

```
Sr2Ir2O7
1.0
-0.920 0.717 7.369
-3.284 -5.449 3.897
4.026 -4.182 4.686
Sr Ir O
4 4 14
direct
0.625 0.625 0.625
0.625 0.625 0.125
0.625 0.125 0.625
0.125 0.625 0.625
0.625 0.125 0.125
0.125 0.625 0.125
0.125 0.125 0.625
0.125 0.125 0.125
0.193 0.193 0.807
0.193 0.807 0.193
0.443 0.057 0.443
0.443 0.443 0.057
0.750 0.750 0.750
0.807 0.193 0.193
0.443 0.057 0.057
0.057 0.443 0.443
0.057 0.057 0.443
0.057 0.443 0.057
0.193 0.807 0.807
0.500 0.500 0.500
0.807 0.193 0.807
0.807 0.807 0.193
```